[1]
Material: Ho12Pd3N5
Method: DFT, PBE-GGA
State: optimized geometry

POSCAR file:
```
Ho12Pd3N5
1.0
-7.603 7.603 7.603
7.603 -7.603 7.603
7.603 7.603 -7.603
Ho Pd N
48 12 20
direct
0.020 0.203 0.117 Ho
0.020 0.317 0.902 Ho
0.086 0.703 0.683 Ho
0.086 0.883 0.402 Ho
0.098 0.617 0.414 Ho
0.098 0.980 0.683 Ho
0.117 0.020 0.203 Ho
0.117 0.598 0.914 Ho
0.183 0.203 0.586 Ho
0.183 0.480 0.598 Ho
0.203 0.117 0.020 Ho
0.203 0.586 0.183 Ho
0.297 0.317 0.914 Ho
0.297 0.480 0.383 Ho
0.317 0.902 0.020 Ho
0.317 0.914 0.297 Ho
0.383 0.297 0.480 Ho
0.383 0.586 0.902 Ho
0.402 0.086 0.883 Ho
0.402 0.817 0.520 Ho
0.414 0.098 0.617 Ho
0.414 0.817 0.797 Ho
0.480 0.383 0.297 Ho
0.480 0.598 0.183 Ho
0.520 0.402 0.817 Ho
0.520 0.617 0.703 Ho
0.586 0.183 0.203 Ho
0.586 0.902 0.383 Ho
0.598 0.183 0.480 Ho
0.598 0.914 0.117 Ho
0.617 0.414 0.098 Ho
0.617 0.703 0.520 Ho
0.683 0.086 0.703 Ho
0.683 0.098 0.980 Ho
0.703 0.520 0.617 Ho
0.703 0.683 0.086 Ho
0.797 0.414 0.817 Ho
0.797 0.883 0.980 Ho
0.817 0.520 0.402 Ho
0.817 0.797 0.414 Ho
0.883 0.402 0.086 Ho
0.883 0.980 0.797 Ho
0.902 0.020 0.317 Ho
0.902 0.383 0.586 Ho
0.914 0.117 0.598 Ho
0.914 0.297 0.317 Ho
0.980 0.683 0.098 Ho
0.980 0.797 0.883 Ho
0.125 0.250 0.375 Pd
0.125 0.375 0.750 Pd
0.250 0.375 0.125 Pd
0.250 0.875 0.625 Pd
0.375 0.125 0.250 Pd
0.375 0.750 0.125 Pd
0.625 0.250 0.875 Pd
0.625 0.875 0.750 Pd
0.750 0.125 0.375 Pd
0.750 0.625 0.875 Pd
0.875 0.625 0.250 Pd
0.875 0.750 0.625 Pd
0.000 0.000 0.000 N
0.000 0.000 0.500 N
0.000 0.500 0.000 N
0.000 0.500 0.500 N
0.125 0.750 0.875 N
0.125 0.875 0.250 N
0.250 0.125 0.875 N
0.250 0.625 0.375 N
0.375 0.250 0.625 N
0.375 0.625 0.750 N
0.500 0.000 0.000 N
0.500 0.000 0.500 N
0.500 0.500 0.000 N
0.500 0.500 0.500 N
0.625 0.375 0.250 N
0.625 0.750 0.375 N
0.750 0.375 0.625 N
0.750 0.875 0.125 N
0.875 0.125 0.750 N
0.875 0.250 0.125 N
```

symmetry: No. 230
magnetization: 0.0 μB/f.u.
E_form (uncorrected): -0.9651 eV/atom

---

[2]
Material: CsSm3Te4
Method: DFT, PBE-GGA
State: optimized geometry

POSCAR file:
```
CsSm3Te4
1.0
4.531 0.000 0.000
-2.265 3.924 0.000
0.000 0.000 32.252
Cs Sm Te
2 6 8
direct
0.333 0.667 0.250 Cs
0.667 0.333 0.750 Cs
0.000 0.000 0.000 Sm
0.000 0.000 0.500 Sm
0.333 0.667 0.610 Sm
0.333 0.667 0.890 Sm
0.667 0.333 0.110 Sm
0.667 0.333 0.390 Sm
0.000 0.000 0.165 Te
0.000 0.000 0.335 Te
0.000 0.000 0.665 Te
0.000 0.000 0.835 Te
0.333 0.667 0.055 Te
0.333 0.667 0.445 Te
0.667 0.333 0.555 Te
0.667 0.333 0.945 Te
```

symmetry: No. 194
magnetization: 0.0 μB/f.u.
E_form (uncorrected): -1.3948 eV/atom